The following is a GGA-PBE calculation of a relaxed structure of PrHf2N4, from Alexandria.

- energy above the most stable polymorph in this dataset (meV per atom) = 0.0
- density of states at the Fermi level (states/eV per cell) = 11.57
- raw formation energy (meV/atom) = -1388.8

Cell and atoms, written as CIF:
```
data_PrHf2N4
_chemical_formula_sum 'Pr4 Hf8 N16'
_space_group_name_H-M_alt 'C m c m'
_space_group_IT_number 63
_space_group_name_Hall '-C 2c 2'
_cell_length_a 3.271
_cell_length_b 10.778
_cell_length_c 10.686
_cell_angle_alpha 90.00
_cell_angle_beta 90.00
_cell_angle_gamma 90.00
loop_
_atom_site_label
_atom_site_fract_x
_atom_site_fract_y
_atom_site_fract_z
Pr1 0.000 0.110 0.250
Hf1 0.000 0.367 0.067
N1 0.000 0.000 0.000
N2 0.000 0.262 0.610
N3 0.000 0.441 0.250
```